Density functional theory data (GGA+U) for an optimized crystal structure of CaMg2VO.

Properties
- Mass density: 1.73 g cm⁻³
- N(E_F): 4.06 states/eV/cell
- Space group: P4/mmm
- Uncorrected energy: -2.512 eV/atom
- Total moment: 5.65 μB per formula unit

abc: 5.0888 5.7637 5.0888
angles: 90.00 90.00 90.00
Last column: magnetic moment on the atom in μB.
Fractional positions:
V 0.0000 0.0000 0.0000  3.42
Mg 0.0000 0.0000 0.5000  0.03
Mg 0.5000 0.0000 0.0000  0.07
Ca 0.0000 0.5000 0.0000  0.14
O 0.5000 0.5000 0.5000  0.57